Sm4Ho3Tl: relaxed, PBE.

Results
Size of the total moment ... 0.000 μB/atom
Formation enthalpy at 0 K ... -0.06 eV per atom
Final energy ... -4.431 eV per atom

a = 11.2619 Å, b = 7.1201 Å, c = 6.2232 Å
α = 90.00°, β = 90.00°, γ = 90.00°
Closest atoms and distances in Å follow each position.
Space group Pmn2_1 (No. 31)
One atom of each set of equivalent atoms:
Sm: 0.0000 0.1294 0.0000 (multiplicity 2)  5 Sm 3.36-3.62, 2 Tl 3.41-3.71, 4 Ho 3.42-3.69
Sm: 0.0000 0.8683 0.4505 (multiplicity 2)  5 Sm 3.36-3.66, 1 Tl 3.46, 4 Ho 3.51-3.58
Sm: 0.2313 0.8681 0.8179 (multiplicity 4)  1 Tl 3.35, 6 Sm 3.40-3.66, 5 Ho 3.46-3.70
Ho: 0.0000 0.3703 0.4750 (multiplicity 2)  6 Sm 3.42-3.69, 4 Ho 3.42-3.53, 2 Tl 3.52-3.57
Ho: 0.2452 0.3836 0.7999 (multiplicity 4)  2 Tl 3.38-3.49, 4 Ho 3.42-3.53, 6 Sm 3.46-3.70
Tl: 0.0000 0.6084 0.9800 (multiplicity 2)  5 Sm 3.35-3.71, 6 Ho 3.38-3.57